10
Lattice="4.717 0.000 0.000 0.000 5.118 0.000 0.000 0.000 5.118" Properties=species:S:1:pos:R:3 comment="PBE+U Mg2VGeO6, optimized geometry" dft_energy_ev_per_atom=-6.496 pbc="T T T"
O 3.469 1.263 1.263
O 3.469 3.854 1.263
O 3.469 3.854 3.854
Ge 2.801 0.000 0.000
O 1.051 2.559 2.559
Mg 4.439 0.000 2.559
V 2.739 2.559 2.559
O 1.064 0.000 0.000
Mg 4.439 2.559 0.000
O 3.469 1.263 3.854